A geometry-optimized LiUAgTe3 structure. Source: the Alexandria database, functional PBE.

Cell and atoms, written as extended XYZ:
```
12
Lattice="4.1785 0.0000 0.0000 0.0000 8.1511 -0.2170 0.0000 -2.3498 9.5833" Properties=species:S:1:pos:R:3 pbc="T T T"
Li 3.1339 6.3252 3.6150
Li 1.0446 -0.5239 5.7514
Te 1.0446 2.7110 8.0914
Te 1.0446 -1.3518 8.4442
U 1.0446 1.0810 2.2064
Te 1.0446 4.9033 4.7909
Te 3.1339 3.0903 1.2749
Ag 1.0446 5.0952 1.8569
U 3.1339 4.7203 7.1600
Te 3.1339 7.1531 0.9221
Ag 3.1339 0.7061 7.5094
Te 3.1339 0.8980 4.5754
```

Results
SG: No. 11
Calculated total energy in eV/cell: -57.14

A geometry-optimized SbPt3W structure. Source: the Alexandria database, functional PBE.

Cell and atoms, written as extended XYZ:
```
5
Lattice="4.8765 0.0000 0.0000 0.0000 4.8765 0.0000 0.0000 0.0000 4.8765" Properties=species:S:1:pos:R:3 pbc="T T T"
W 0.0000 0.0000 0.0000
Pt 0.0000 2.4382 0.0000
Sb 2.4382 2.4382 2.4382
Pt 0.0000 0.0000 2.4382
Pt 2.4382 0.0000 0.0000
```

Results
Distance to the lowest polymorph of the same formula in eV per atom: 0.000
SG: No. 221

A geometry-optimized NaSc2Tl structure. Source: the Alexandria database, functional PBE.

Cell and atoms, written as extended XYZ:
```
8
Lattice="-3.2141 -2.7660 1.0135 2.4057 -1.5988 3.2657 -4.7496 5.3999 9.0528" Properties=species:S:1:pos:R:3 pbc="T T T"
Sc -4.2275 0.2027 10.5909
Sc -2.9516 -0.6270 3.3225
Tl -4.1839 0.2257 6.1029
Sc -3.9074 2.4410 8.3372
Na -0.4042 -2.1824 2.1396
Tl 0.0000 0.0000 0.0000
Na -1.3740 0.8093 7.2290
Sc -0.0294 0.0533 4.4132
```

Results
Distance to the lowest polymorph of the same formula in eV per atom: 0.298
SG: No. 122

A geometry-optimized Ho5TmHg2 structure. Source: the Alexandria database, functional PBE.

Cell and atoms, written as extended XYZ:
```
8
Lattice="3.6289 0.0000 0.0000 1.8144 7.9777 -0.4907 1.8144 1.9322 7.7557" Properties=species:S:1:pos:R:3 pbc="T T T"
Hg 1.8144 2.3268 1.7058
Ho 3.6289 4.9281 6.4844
Ho 1.8144 4.9549 3.6325
Tm 0.0000 0.0000 0.0000
Ho 3.6289 4.9818 0.7805
Hg 5.4433 7.5831 5.5592
Ho 3.6289 2.2432 4.5162
Ho 3.6289 7.6667 2.7488
```

Results
SG: No. 71
Calculated total energy in eV/cell: -29.14

A geometry-optimized Y5SnHg4 structure. Source: the Alexandria database, functional PBE.

Cell and atoms, written as extended XYZ:
```
10
Lattice="-3.6280 -0.5611 0.6841 0.8693 -2.7988 2.3144 0.8266 12.0630 14.2774" Properties=species:S:1:pos:R:3 pbc="T T T"
Y -0.6380 9.1382 14.3033
Hg 0.1697 2.4771 2.9318
Y -1.2940 -0.4351 2.9726
Y -0.9660 4.3516 8.6380
Hg 0.3303 4.8196 5.7043
Y -0.8018 6.7481 11.4744
Y -1.1303 1.9551 5.8015
Hg 0.4963 7.2435 8.5731
Sn 0.0000 0.0000 0.0000
Hg 0.6569 9.5860 11.3456
```

Results
SG: No. 123
Calculated total energy in eV/cell: -42.91

A geometry-optimized Pr3CdPd5 structure. Source: the Alexandria database, functional PBE.

Cell and atoms, written as extended XYZ:
```
18
Lattice="-0.9290 7.6807 -3.3522 -4.9551 2.2166 6.4518 7.6663 -3.0746 1.4347" Properties=species:S:1:pos:R:3 pbc="T T T"
Pr -1.9513 1.8225 1.9445
Pr -3.9328 8.0747 1.1552
Pr -0.5799 5.8856 3.0421
Pd -3.2934 7.6529 3.7161
Pr -1.2336 5.1340 -1.2710
Pd 4.0621 3.2557 -0.1430
Pd 0.0948 3.3096 1.0801
Pr 2.3621 0.9370 1.4923
Pr -4.6505 4.7633 4.3706
Pd -2.9421 4.9486 1.5498
Pd -2.2799 3.5669 4.6774
Pd -0.9187 7.3955 0.1188
Pd 0.0000 0.0000 0.0000
Cd -0.1154 2.0453 4.7182
Pd 2.7010 -0.5730 4.4156
Pd 5.0756 -0.8303 0.8182
Cd 1.8977 4.7773 -0.1838
Pd 1.6875 3.5130 3.4543
```

Results
SG: No. 140
Calculated total energy in eV/cell: -90.46

A geometry-optimized NbCuAs3 structure. Source: the Alexandria database, functional PBE.

Cell and atoms, written as extended XYZ:
```
5
Lattice="-4.9289 -0.1623 -0.6859 0.1038 -4.9595 0.4275 -0.6971 0.4089 4.9130" Properties=species:S:1:pos:R:3 pbc="T T T"
As -2.4644 -0.0811 -0.3429
As 0.0519 -2.4798 0.2137
As -0.3486 0.2044 2.4565
Nb 0.0000 0.0000 0.0000
Cu -2.7611 -2.3565 2.3273
```

Results
Distance to the lowest polymorph of the same formula in eV per atom: 0.000
SG: No. 221

A geometry-optimized Sc2WBr structure. Source: the Alexandria database, functional PBE.

Cell and atoms, written as extended XYZ:
```
4
Lattice="-4.6358 3.3112 0.7140 -5.0295 -2.2243 1.6497 5.5370 -0.1382 1.5122" Properties=species:S:1:pos:R:3 pbc="T T T"
Br -1.9657 1.8583 1.7040
Sc 0.0000 0.0000 0.0000
W -4.8326 0.5435 1.1818
Sc -2.1626 -0.9095 2.1718
```

Results
Distance to the lowest polymorph of the same formula in eV per atom: 0.690
SG: No. 119

A geometry-optimized GaBi2Au2 structure. Source: the Alexandria database, functional PBE.

Cell and atoms, written as extended XYZ:
```
10
Lattice="3.9169 0.0000 0.9283 1.9773 6.4552 0.3847 -0.1801 -0.3329 9.4877" Properties=species:S:1:pos:R:3 pbc="T T T"
Bi 3.9151 1.5046 9.6635
Bi 1.7990 4.6176 1.1371
Au 0.7567 1.7546 5.5348
Bi 2.3979 3.7258 7.3376
Au 1.6588 0.5018 1.7286
Ga 3.0963 5.9990 4.3907
Ga 2.6178 0.1233 6.4100
Au 4.0553 5.6204 9.0720
Au 4.9574 4.3677 5.2659
Bi 3.3162 2.3965 3.4631
```

Results
Distance to the lowest polymorph of the same formula in eV per atom: 0.000
SG: No. 12

A geometry-optimized RbDyMn2Cl8 structure. Source: the Alexandria database, functional PBE.

Cell and atoms, written as extended XYZ:
```
12
Lattice="6.4438 0.0000 0.0000 3.2219 5.5805 0.0000 3.2219 1.8602 10.5410" Properties=species:S:1:pos:R:3 pbc="T T T"
Cl 5.3663 5.4652 3.5568
Cl 3.2219 1.8602 0.4937
Dy 6.4438 3.7203 5.2705
Rb 0.0000 0.0000 0.0000
Cl 8.4937 3.7810 3.5568
Mn 9.6657 5.5805 7.7759
Cl 8.4937 3.6597 6.9842
Mn 3.2219 1.8602 2.7651
Cl 5.4714 1.9148 3.5568
Cl 9.6657 5.5805 10.0473
Cl 5.3663 1.9754 6.9842
Cl 5.4714 5.5259 6.9842
```

Results
SG: No. 155
Calculated total energy in eV/cell: -57.75

A geometry-optimized Er3FeCo8 structure. Source: the Alexandria database, functional PBE.

Cell and atoms, written as extended XYZ:
```
12
Lattice="4.9478 0.0000 0.0000 2.4739 4.2849 0.0000 2.4739 1.4283 8.0819" Properties=species:S:1:pos:R:3 pbc="T T T"
Co 4.9478 4.2791 1.5601
Co 3.7160 2.1454 1.5601
Co 8.6440 4.9906 5.4881
Co 2.4739 1.4283 3.5136
Co 6.1797 2.1454 1.5601
Co 6.1994 4.9906 5.4881
Er 4.9478 2.8566 7.0470
Co 7.4217 4.2849 7.5605
Er 4.9478 2.8566 3.9348
Co 7.4217 2.8736 5.4881
Er 7.4217 4.2849 0.1567
Fe 7.4217 4.2849 3.1137
```

Results
SG: No. 160
Calculated total energy in eV/cell: -80.87

A geometry-optimized KBaP2O structure. Source: the Alexandria database, functional PBE.

Cell and atoms, written as extended XYZ:
```
5
Lattice="-0.1451 -0.0020 -5.4566 4.9032 -2.3953 -0.1295 -2.1179 -4.3383 0.0579" Properties=species:S:1:pos:R:3 pbc="T T T"
K 0.0000 0.0000 0.0000
Ba 1.3201 -3.3678 -2.7641
O -1.0589 -2.1692 0.0290
P 2.4516 -1.1977 -0.0647
P -0.0725 -0.0010 -2.7283
```

Results
Distance to the lowest polymorph of the same formula in eV per atom: 0.241
SG: No. 123

A geometry-optimized CrBr structure. Source: the Alexandria database, functional PBE.

Cell and atoms, written as extended XYZ:
```
4
Lattice="-1.8163 0.2915 -3.6826 2.0164 -3.4366 1.0342 -6.5970 -2.9621 3.0193" Properties=species:S:1:pos:R:3 pbc="T T T"
Br -3.9246 -4.2878 1.5962
Cr -1.7358 -3.3050 0.5945
Cr -6.3119 -3.5434 0.5319
Br -1.9036 -1.5640 -1.4857
```

Results
SG: No. 186
Calculated total energy in eV/cell: -21.86

A geometry-optimized BiMoIN2 structure. Source: the Alexandria database, functional PBE.

Cell and atoms, written as extended XYZ:
```
5
Lattice="4.1757 0.0000 0.0000 0.0000 4.1757 0.0000 0.0000 0.0000 5.5430" Properties=species:S:1:pos:R:3 pbc="T T T"
N 0.0000 2.0878 0.0000
I 0.0000 0.0000 2.7715
Mo 0.0000 0.0000 0.0000
Bi 2.0878 2.0878 2.7715
N 2.0878 0.0000 0.0000
```

Results
Distance to the lowest polymorph of the same formula in eV per atom: 0.000
SG: No. 123

A geometry-optimized Zr2TaHg structure. Source: the Alexandria database, functional PBE.

Cell and atoms, written as extended XYZ:
```
4
Lattice="9.9092 -0.0143 -0.0084 9.3929 3.1570 -0.0084 9.3929 1.5293 2.7619" Properties=species:S:1:pos:R:3 pbc="T T T"
Ta 21.5212 3.5041 2.0588
Zr 14.2783 2.3248 1.3659
Zr 0.0692 0.0113 0.0066
Hg 7.1737 1.1680 0.6863
```

Results
SG: No. 166
Calculated total energy in eV/cell: -29.03

A geometry-optimized TlSnSe2 structure. Source: the Alexandria database, functional PBE.

Cell and atoms, written as extended XYZ:
```
4
Lattice="4.0737 0.0000 0.0000 2.0369 3.5279 0.0000 2.0369 1.1760 7.9191" Properties=species:S:1:pos:R:3 pbc="T T T"
Se 2.0369 1.1760 1.6568
Se 2.0368 1.1760 6.2372
Sn 6.1106 3.5279 7.9133
Tl 4.0737 2.3520 3.9905
```

Results
SG: No. 160
Calculated total energy in eV/cell: -14.89

A geometry-optimized LiSc2Br structure. Source: the Alexandria database, functional PBE.

Cell and atoms, written as extended XYZ:
```
4
Lattice="-2.2434 -1.0945 2.4182 -0.4123 -4.3993 -2.3737 3.9918 -1.9066 2.8402" Properties=species:S:1:pos:R:3 pbc="T T T"
Sc 0.0000 0.0000 0.0000
Sc -1.3279 -2.7469 0.0223
Br 0.8742 -1.5006 2.6292
Li 1.7897 -3.1529 0.2333
```

Results
Distance to the lowest polymorph of the same formula in eV per atom: 0.343
SG: No. 47

A geometry-optimized TaPbI2N structure. Source: the Alexandria database, functional PBE.

Cell and atoms, written as extended XYZ:
```
5
Lattice="6.1102 0.0000 0.0000 0.0000 6.1102 0.0000 0.0000 0.0000 4.0213" Properties=species:S:1:pos:R:3 pbc="T T T"
Pb 0.0000 0.0000 0.0000
I 0.0000 3.0551 0.0000
Ta 3.0551 3.0551 2.0107
I 3.0551 0.0000 0.0000
N 0.0000 0.0000 2.0107
```

Results
Distance to the lowest polymorph of the same formula in eV per atom: 1.546
SG: No. 123

A geometry-optimized YCrSe2 structure. Source: the Alexandria database, functional PBE.

Cell and atoms, written as extended XYZ:
```
4
Lattice="4.0053 0.0000 0.0000 0.0000 4.0050 0.0000 0.0000 0.0000 5.6467" Properties=species:S:1:pos:R:3 pbc="T T T"
Se 2.0027 2.0025 2.1136
Y 0.0000 0.0000 2.1223
Cr 2.0027 2.0025 4.9372
Se 0.0000 0.0000 4.9435
```

Results
Distance to the lowest polymorph of the same formula in eV per atom: 0.000
SG: No. 99

A geometry-optimized VAg structure. Source: the Alexandria database, functional PBE.

Cell and atoms, written as extended XYZ:
```
8
Lattice="5.4012 0.0000 0.0000 0.0000 5.4012 0.0000 0.0000 0.0000 5.4012" Properties=species:S:1:pos:R:3 pbc="T T T"
V 2.7006 0.0000 2.7006
Ag 0.0000 0.0000 2.7006
V 2.7006 2.7006 0.0000
V 0.0000 0.0000 0.0000
Ag 2.7006 2.7006 2.7006
V 0.0000 2.7006 2.7006
Ag 0.0000 2.7006 0.0000
Ag 2.7006 0.0000 0.0000
```

Results
SG: No. 225
Calculated total energy in eV/cell: -38.81